Here is a relaxed structure of TlInO3 from Alexandria via LeMat-Bulk. Energies are from PBE.

## Properties
density of states at the Fermi level = 0.79 states/eV per atom
V = 14.22 Å³ per atom
formation energy without anion corrections = -0.539 eV per atom
crystal system = cubic
calculated density = 8.58 g cm⁻³
raw total energy = -4.535 eV per atom

abc: 4.143 4.143 4.143
angles: 90.00 90.00 90.00
Space group Pm-3m (No. 221)
Asymmetric unit:
Tl (0.000, 0.000, 0.000) [1 per cell]
In (0.500, 0.500, 0.500) [1 per cell]
O (0.000, 0.500, 0.500) [3 per cell]